The following is a PBE calculation of a relaxed structure of YHo7Sc4, from Alexandria.

a = 6.0118 Å, b = 6.9399 Å, c = 8.5255 Å
α = 89.95°, β = 76.35°, γ = 89.97°
With the nearest neighbours (Å) after each atom.
Sites, in units of the cell vectors:
Y (0.0000, 0.0000, 0.0000)  10 Ho 3.45-3.51, 2 Sc 3.46
Ho (0.0000, 0.5000, 0.0000)  4 Sc 3.42-3.44, 6 Ho 3.43-3.48, 2 Y 3.47
Ho (0.2242, 0.9997, 0.3369)  5 Sc 3.36-3.49, 6 Ho 3.37-3.53, 1 Y 3.45
Ho (0.2838, 0.2562, 0.6598)  6 Sc 3.32-3.55, 5 Ho 3.37-3.53, 1 Y 3.48
Ho (0.4969, 0.7450, 0.9952)  7 Ho 3.40-3.54, 3 Sc 3.41-3.46, 2 Y 3.46-3.51
Ho (0.5031, 0.2550, 0.0048)  7 Ho 3.40-3.54, 3 Sc 3.41-3.46, 2 Y 3.46-3.51
Ho (0.7162, 0.7438, 0.3402)  6 Sc 3.32-3.55, 5 Ho 3.37-3.53, 1 Y 3.48
Ho (0.7758, 0.0003, 0.6631)  5 Sc 3.36-3.49, 6 Ho 3.37-3.53, 1 Y 3.45
Sc (0.2162, 0.5001, 0.3392)  4 Sc 3.30-3.49, 8 Ho 3.32-3.47
Sc (0.2756, 0.7449, 0.6618)  3 Sc 3.32-3.49, 8 Ho 3.33-3.55, 1 Y 3.46
Sc (0.7244, 0.2551, 0.3382)  3 Sc 3.32-3.49, 8 Ho 3.33-3.55, 1 Y 3.46
Sc (0.7838, 0.4999, 0.6608)  4 Sc 3.30-3.49, 8 Ho 3.32-3.47

## Properties
SG   P-1
ΔH_f (0 K)   0.021 eV per atom
Energy above the lowest structure with this stoichiometry   0.000 eV/atom